[1]
{"formula": "EuErTl2", "functional": "GGA-PBE", "state": "optimized geometry", "cell": [[-3.311, -0.323, 1.780], [-1.943, -3.228, -0.201], [2.958, -4.527, 8.678]], "species": ["Tl", "Tl", "Eu", "Er"], "frac_coords": [[0.253, 0.253, 0.240], [0.747, 0.747, 0.760], [0.500, 0.500, 0.500], [0.000, 0.000, 0.000]], "ef_ev_per_atom": -0.25, "mass_density_g_cm3": 9.8, "space_group": "No. 166", "polymorph_energy_mev_per_atom": 132, "m_tot_mub_per_cell": 7.27, "crystal_system": "trigonal"}

[2]
{"formula": "EuErTl", "functional": "GGA-PBE", "state": "optimized geometry", "cell": [[-2.433, 1.780, -2.281], [0.510, -2.669, -2.628], [-4.002, -3.039, 5.029]], "species": ["Tl", "Er", "Eu"], "frac_coords": [[0.626, 0.626, 0.251], [0.263, 0.263, 0.527], [0.961, 0.961, 0.922]], "ef_ev_per_atom": -0.19, "mass_density_g_cm3": 9.2, "space_group": "No. 107", "polymorph_energy_mev_per_atom": 0, "m_tot_mub_per_cell": 8.19, "crystal_system": "tetragonal"}

[3]
{"formula": "Eu2ErTl", "functional": "GGA-PBE", "state": "optimized geometry", "cell": [[3.624, 0.000, 0.000], [1.812, 3.139, 0.000], [1.812, 1.046, 12.199]], "species": ["Eu", "Eu", "Tl", "Er"], "frac_coords": [[0.907, 0.907, 0.279], [0.093, 0.093, 0.721], [0.500, 0.500, 0.500], [0.000, 0.000, 0.000]], "ef_ev_per_atom": 0.10, "mass_density_g_cm3": 8.1, "space_group": "No. 166", "polymorph_energy_mev_per_atom": 235, "m_tot_mub_per_cell": 15.18, "crystal_system": "trigonal"}

[4]
{"formula": "EuErTl4", "functional": "GGA-PBE", "state": "optimized geometry", "cell": [[-1.832, 6.018, 0.263], [-1.929, 2.467, 5.462], [3.571, 4.251, 2.970]], "species": ["Tl", "Tl", "Tl", "Tl", "Eu", "Er"], "frac_coords": [[0.625, 0.625, 0.625], [0.625, 0.126, 0.625], [0.126, 0.625, 0.625], [0.625, 0.625, 0.126], [0.000, 0.000, 0.000], [0.250, 0.250, 0.250]], "ef_ev_per_atom": -0.08, "mass_density_g_cm3": 10.7, "space_group": "No. 216", "m_tot_mub_per_cell": 7.85, "crystal_system": "cubic"}

[5]
{"formula": "EuErTl2", "functional": "GGA-PBE", "state": "optimized geometry", "cell": [[3.869, 0.000, 0.000], [0.000, 3.869, 0.000], [0.000, 0.000, 7.749]], "species": ["Tl", "Tl", "Eu", "Er"], "frac_coords": [[0.000, 0.000, 0.770], [0.000, 0.000, 0.230], [0.500, 0.500, 0.500], [0.500, 0.500, 0.000]], "ef_ev_per_atom": -0.38, "mass_density_g_cm3": 10.4, "space_group": "No. 123", "polymorph_energy_mev_per_atom": 0, "m_tot_mub_per_cell": 7.18, "crystal_system": "tetragonal"}

[6]
{"formula": "EuErTl", "functional": "GGA-PBE", "state": "optimized geometry", "cell": [[5.319, 0.000, 0.000], [2.659, 4.606, 0.000], [2.659, 1.535, 4.343]], "species": ["Er", "Eu", "Tl"], "frac_coords": [[0.000, 0.000, 0.000], [0.500, 0.500, 0.500], [0.250, 0.250, 0.250]], "ef_ev_per_atom": -0.05, "mass_density_g_cm3": 8.2, "space_group": "No. 216", "polymorph_energy_mev_per_atom": 143, "m_tot_mub_per_cell": 7.15, "crystal_system": "cubic"}

[7]
{"formula": "Eu2ErTl", "functional": "GGA-PBE", "state": "optimized geometry", "cell": [[-2.182, 3.897, -3.508], [-5.324, -0.551, -1.898], [-4.051, 3.528, 1.842]], "species": ["Eu", "Eu", "Er", "Tl"], "frac_coords": [[0.250, 0.250, 0.250], [0.750, 0.750, 0.750], [0.000, 0.000, 0.000], [0.500, 0.500, 0.500]], "ef_ev_per_atom": -0.05, "mass_density_g_cm3": 8.7, "space_group": "No. 225", "polymorph_energy_mev_per_atom": 90, "m_tot_mub_per_cell": 14.25, "crystal_system": "cubic"}

[8]
{"formula": "EuErTl", "functional": "GGA-PBE", "state": "optimized geometry", "cell": [[3.757, 0.000, 0.000], [0.000, 5.370, 0.000], [0.000, -2.685, 4.651]], "species": ["Tl", "Eu", "Er"], "frac_coords": [[0.092, 0.000, 0.000], [0.684, 0.333, 0.667], [0.225, 0.667, 0.333]], "ef_ev_per_atom": -0.16, "mass_density_g_cm3": 9.3, "space_group": "No. 156", "polymorph_energy_mev_per_atom": 38, "m_tot_mub_per_cell": 7.17, "crystal_system": "trigonal"}